LuUB | GGA-PBE | optimized geometry

Output
**SG**: F-43m, No. 216
**Uncorrected energy**: -7.05 eV/atom

Cell lengths 4.3536, 4.3536, 4.3536 Å; angles 60.00, 60.00, 60.00 degrees
Closest atoms and distances in Å follow each position.
Atoms (fractional coordinates):
Lu 0.0000 0.0000 0.0000  4 B 2.67
U 0.5000 0.5000 0.5000  4 B 2.67
B 0.2500 0.2500 0.2500  4 U 2.67, 4 Lu 2.67

=====

Dy3Zn3PdPt2 | GGA-PBE | optimized geometry

Output
**SG**: P-62m, No. 189
**E_form**: -8.214 eV per formula unit

Cell lengths 7.3015, 7.3015, 3.8460 Å; angles 90.00, 90.00, 120.00 degrees
Closest atoms and distances in Å follow each position.
Atoms (fractional coordinates):
Dy 0.0000 0.5936 0.0000  4 Pt 2.93, 1 Pd 2.97, 6 Zn 3.15-3.23
Dy 0.4064 0.4064 0.0000  4 Pt 2.93, 1 Pd 2.97, 6 Zn 3.15-3.23
Dy 0.5936 0.0000 0.0000  4 Pt 2.93, 1 Pd 2.97, 6 Zn 3.15-3.23
Zn 0.0000 0.2517 0.5000  2 Pd 2.66, 2 Pt 2.78
Zn 0.2517 0.0000 0.5000  2 Pd 2.66, 2 Pt 2.78
Zn 0.7483 0.7483 0.5000  2 Pd 2.66, 2 Pt 2.78
Pd 0.0000 0.0000 0.0000  6 Zn 2.66, 3 Dy 2.97
Pt 0.3333 0.6667 0.5000  3 Zn 2.78, 6 Dy 2.93
Pt 0.6667 0.3333 0.5000  3 Zn 2.78, 6 Dy 2.93

=====

Sm2AlGa5 | GGA-PBE | optimized geometry

Output
**SG**: Amm2, No. 38
**Uncorrected energy**: -4.09 eV/atom

Cell lengths 4.5269, 6.4015, 6.4015 Å; angles 60.08, 90.00, 90.00 degrees
Closest atoms and distances in Å follow each position.
Atoms (fractional coordinates):
Sm 0.0000 0.0000 0.0000  10 Ga 3.09-3.21, 2 Al 3.22
Sm 0.5000 0.3325 0.3325  10 Ga 3.08-3.21, 2 Al 3.11
Al 0.0000 0.5248 0.5248  6 Ga 2.75-2.76
Ga 0.0000 0.5228 0.9548  1 Al 2.75, 5 Ga 2.77-2.78
Ga 0.0000 0.9548 0.5228  1 Al 2.75, 5 Ga 2.77-2.78
Ga 0.5000 0.3786 0.8091  4 Ga 2.76-2.78, 2 Al 2.76, 2 Sm 3.09
Ga 0.5000 0.8091 0.3786  4 Ga 2.76-2.78, 2 Al 2.76, 2 Sm 3.09
Ga 0.5000 0.8103 0.8103  6 Ga 2.77, 2 Sm 3.09

=====

AsAu17 | GGA-PBE | optimized geometry

Output
**SG**: P2_1/m, No. 11
**Uncorrected energy**: -3.27 eV/atom

Cell lengths 4.9915, 5.7452, 29.1038 Å; angles 90.00, 90.84, 90.00 degrees
Closest atoms and distances in Å follow each position.
Atoms (fractional coordinates):
As 0.0930 0.2500 0.3402  6 Au 2.69-2.89
As 0.9070 0.7500 0.6598  6 Au 2.69-2.89
Au 0.0000 0.0000 0.0000  12 Au 2.87-3.00
Au 0.0000 0.5000 0.0000  12 Au 2.87-3.00
Au 0.0235 0.0025 0.2570  1 As 2.83, 10 Au 2.84-3.03
Au 0.0235 0.4975 0.2570  1 As 2.83, 10 Au 2.84-3.03
Au 0.1442 0.2500 0.8269  12 Au 2.87-3.03
Au 0.1464 0.7500 0.8304  12 Au 2.87-3.02
Au 0.1488 0.7500 0.3457  6 Au 2.83-3.02, 2 As 2.89
Au 0.1787 0.7500 0.0856  12 Au 2.87-3.03
Au 0.1796 0.2500 0.0855  12 Au 2.87-3.00
Au 0.3204 0.0019 0.9143  12 Au 2.85-3.03
Au 0.3204 0.4981 0.9143  12 Au 2.85-3.03
Au 0.3550 0.5013 0.1707  12 Au 2.86-3.03
Au 0.3550 0.9987 0.1707  12 Au 2.86-3.03
Au 0.3619 0.0000 0.6544  1 As 2.69, 5 Au 2.83-2.98
Au 0.3619 0.5000 0.6544  1 As 2.69, 5 Au 2.83-2.98
Au 0.4767 0.7500 0.7455  11 Au 2.87-3.06
Au 0.4781 0.2500 0.7421  12 Au 2.87-3.18
Au 0.4991 0.7500 0.9994  12 Au 2.87-3.01
Au 0.5009 0.2500 0.0006  12 Au 2.87-3.01
Au 0.5219 0.7500 0.2579  12 Au 2.87-3.18
Au 0.5233 0.2500 0.2545  11 Au 2.87-3.06
Au 0.6381 0.0000 0.3456  1 As 2.69, 5 Au 2.83-2.98
Au 0.6381 0.5000 0.3456  1 As 2.69, 5 Au 2.83-2.98
Au 0.6450 0.0013 0.8293  12 Au 2.86-3.03
Au 0.6450 0.4987 0.8293  12 Au 2.86-3.03
Au 0.6796 0.5019 0.0857  12 Au 2.85-3.03
Au 0.6796 0.9981 0.0857  12 Au 2.85-3.03
Au 0.8204 0.7500 0.9145  12 Au 2.87-3.00
Au 0.8213 0.2500 0.9144  12 Au 2.87-3.03
Au 0.8512 0.2500 0.6543  6 Au 2.83-3.02, 2 As 2.89
Au 0.8536 0.2500 0.1696  12 Au 2.87-3.02
Au 0.8558 0.7500 0.1731  12 Au 2.87-3.03
Au 0.9765 0.5025 0.7430  1 As 2.83, 10 Au 2.84-3.03
Au 0.9765 0.9975 0.7430  1 As 2.83, 10 Au 2.84-3.03

=====

PrNb3O9 | GGA-PBE | optimized geometry

Output
**SG**: P2_1/m, No. 11
**Uncorrected energy**: -8.88 eV/atom

Cell lengths 5.4107, 7.5640, 8.2312 Å; angles 90.00, 92.03, 90.00 degrees
Closest atoms and distances in Å follow each position.
Atoms (fractional coordinates):
Pr 0.0327 0.2500 0.4363  8 O 2.43-2.53
Pr 0.9673 0.7500 0.5637  8 O 2.43-2.53
Nb 0.0000 0.0000 0.0000  6 O 1.97-2.02
Nb 0.0000 0.5000 0.0000  6 O 1.97-2.02
Nb 0.4766 0.0087 0.7022  5 O 1.85-2.01
Nb 0.4766 0.4913 0.7022  5 O 1.85-2.01
Nb 0.5234 0.5087 0.2978  5 O 1.85-2.01
Nb 0.5234 0.9913 0.2978  5 O 1.85-2.01
O 0.0960 0.2500 0.9809  2 Nb 1.97
O 0.1464 0.5593 0.7841  2 Nb 2.00-2.02
O 0.1464 0.9407 0.7841  2 Nb 2.00-2.02
O 0.2645 0.5401 0.4627  1 Nb 2.00
O 0.2645 0.9599 0.4627  1 Nb 2.00
O 0.3253 0.5564 0.1152  2 Nb 1.85-2.02
O 0.3253 0.9436 0.1152  2 Nb 1.85-2.02
O 0.3417 0.2500 0.6608  2 Nb 1.99
O 0.4390 0.2500 0.3071  2 Nb 2.01
O 0.5610 0.7500 0.6929  2 Nb 2.01
O 0.6583 0.7500 0.3392  2 Nb 1.99
O 0.6747 0.0564 0.8848  2 Nb 1.85-2.02
O 0.6747 0.4436 0.8848  2 Nb 1.85-2.02
O 0.7355 0.0401 0.5373  1 Nb 2.00
O 0.7355 0.4599 0.5373  1 Nb 2.00
O 0.8536 0.0593 0.2159  2 Nb 2.00-2.02
O 0.8536 0.4407 0.2159  2 Nb 2.00-2.02
O 0.9040 0.7500 0.0191  2 Nb 1.97

=====

NbTeNO | GGA-PBE | optimized geometry

Output
**SG**: Pmc2_1, No. 26
**Uncorrected energy**: -7.38 eV/atom

Cell lengths 3.6689, 6.3581, 6.3176 Å; angles 90.00, 90.00, 90.00 degrees
Closest atoms and distances in Å follow each position.
Atoms (fractional coordinates):
Nb 0.0000 0.1722 0.0000  2 O 1.88-2.04, 2 N 2.03
Nb 0.0000 0.8278 0.5000  2 O 1.88-2.04, 2 N 2.03
Te 0.5000 0.4693 0.5977  2 N 2.31-2.33
Te 0.5000 0.5307 0.0977  2 N 2.31-2.33
N 0.5000 0.2364 0.8776  2 Nb 2.03
N 0.5000 0.7636 0.3776  2 Nb 2.03
O 0.0000 0.0601 0.2761  2 Nb 1.88-2.04
O 0.0000 0.9399 0.7761  2 Nb 1.88-2.04

=====

Ho2GaGe | GGA-PBE | optimized geometry

Output
**SG**: Amm2, No. 38
**Uncorrected energy**: -4.98 eV/atom

Cell lengths 4.0232, 5.7778, 5.7778 Å; angles 42.49, 90.00, 90.00 degrees
Closest atoms and distances in Å follow each position.
Atoms (fractional coordinates):
Ho 0.0000 0.0000 0.0000  4 Ga 2.97, 3 Ge 3.03-3.15
Ho 0.5000 0.2799 0.2799  4 Ge 2.98, 3 Ga 3.02-3.16
Ga 0.5000 0.5599 0.5599  2 Ge 2.64
Ge 0.0000 0.7188 0.7188  2 Ga 2.64

=====

Zr2Pd | GGA-PBE | optimized geometry

Output
**SG**: P-62m, No. 189
**E_form**: -0.901 eV per formula unit

Cell lengths 5.2353, 5.2353, 5.0070 Å; angles 90.00, 90.00, 120.00 degrees
Closest atoms and distances in Å follow each position.
Atoms (fractional coordinates):
Zr 0.0000 0.0000 0.0000  6 Pd 3.02, 6 Zr 3.12
Zr 0.0000 0.6433 0.5000  8 Zr 2.92-3.23, 4 Pd 3.02
Zr 0.3567 0.3567 0.5000  8 Zr 2.92-3.23, 4 Pd 3.02
Zr 0.6433 0.0000 0.5000  8 Zr 2.92-3.23, 4 Pd 3.02
Pd 0.3333 0.6667 0.0000  9 Zr 3.02, 3 Pd 3.02
Pd 0.6667 0.3333 0.0000  9 Zr 3.02, 3 Pd 3.02